Below is a relaxed structure of Na3Sr2FeO6, with properties calculated at the PBE+U level.

```
Na3Sr2FeO6
1.0
-4.157 -3.402 2.747
2.992 -2.047 -4.822
4.265 -0.321 3.970
O Na Fe Sr
6 3 1 2
Direct
0.068 0.336 0.214 O
0.336 0.068 0.214 O
0.210 0.210 0.804 O
0.664 0.932 0.786 O
0.790 0.790 0.196 O
0.932 0.664 0.786 O
0.139 0.861 0.500 Na
0.861 0.139 0.500 Na
0.500 0.500 0.500 Na
0.000 0.000 0.000 Fe
0.331 0.669 0.000 Sr
0.669 0.331 0.000 Sr
```

Computed properties:
Space-group type: No. 12
Calculated total energy, eV per atom: -5.272